# Ag2OsW | Alexandria | GGA-PBE | relaxed
data_Ag2OsW
_chemical_formula_sum 'Ag2 Os1 W1'
_symmetry_space_group_name_H-M 'P m m m'
_symmetry_Int_Tables_number 47
_symmetry_space_group_name_Hall '-P 2 2'
_cell_length_a 3.064
_cell_length_b 4.361
_cell_length_c 4.919
_cell_angle_alpha 90.00
_cell_angle_beta 90.00
_cell_angle_gamma 90.00
loop_
_atom_site_label
_atom_site_fract_x
_atom_site_fract_y
_atom_site_fract_z
Ag1 0.000 0.000 0.000
Ag2 0.500 0.500 0.000
Os1 0.000 0.500 0.500
W1 0.500 0.000 0.500
# Calculated volume ... 16.4 A^3/atom
# Formation enthalpy at 0 K ... 0.672 eV per atom
# ΔE to the lowest computed polymorph ... 385 meV/atom

---

# Ag2OsW | Alexandria | GGA-PBE | relaxed
data_Ag2OsW
_chemical_formula_sum 'Ag4 Os2 W2'
_symmetry_space_group_name_H-M 'I -4 m 2'
_symmetry_Int_Tables_number 119
_symmetry_space_group_name_Hall 'I -4 -2'
_cell_length_a 4.065
_cell_length_b 4.065
_cell_length_c 7.735
_cell_angle_alpha 90.00
_cell_angle_beta 90.00
_cell_angle_gamma 90.00
loop_
_atom_site_label
_atom_site_fract_x
_atom_site_fract_y
_atom_site_fract_z
Ag1 0.000 0.000 0.000
Ag2 0.000 0.500 0.250
Os1 0.000 0.500 0.750
W1 0.000 0.000 0.500
# Calculated volume ... 16.0 A^3/atom
# Formation enthalpy at 0 K ... 0.683 eV per atom
# ΔE to the lowest computed polymorph ... 396 meV/atom